1.
Here is crystalline Pm6Ir2Rh at its relaxed geometry from the Alexandria database. Energies are from PBE.

abc: 7.5888 7.5888 4.8477
angles: 90.00 90.00 120.00
Closest atoms and distances in Å follow each position.
Space group P-3 (No. 147)
Unique sites:
Pm  0.0726  0.3728  0.2466 [6 per cell]  1 Rh 2.86, 2 Ir 2.95-3.01
Ir  0.3333  0.6667  0.8048 [2 per cell]  6 Pm 2.95-3.01
Rh  0.0000  0.0000  0.0000 [1 per cell]  6 Pm 2.86

Calculated values
Total magnetic moment (μB per formula unit): 0.0
DFT formation energy (meV/atom): -513

2.
Here is crystalline Pm12Ir6Rh at its relaxed geometry from the Alexandria database. Energies are from PBE.

abc: 12.7703 12.7703 11.7320
angles: 90.00 90.00 120.00
Closest atoms and distances in Å follow each position.
Space group R-3 (No. 148, hexagonal axes)
Unique sites:
Pm  0.0282  0.2163  0.3928 [18 per cell]  4 Ir 2.83-3.04
Pm  0.0401  0.2079  0.8844 [18 per cell]  1 Rh 2.79, 2 Ir 2.86-2.87
Ir  0.0466  0.2645  0.6481 [18 per cell]  6 Pm 2.83-3.04
Rh  0.0000  0.0000  0.0000 [3 per cell]  6 Pm 2.79

Calculated values
Total magnetic moment (μB per formula unit): 0.0
DFT formation energy (meV/atom): -575

3.
Here is crystalline Pm8IrRh5 at its relaxed geometry from the Alexandria database. Energies are from PBE.

abc: 8.8142 8.8142 8.8008
angles: 90.00 90.00 90.00
Closest atoms and distances in Å follow each position.
Space group I-4 (No. 82)
Unique sites:
Pm  0.0589  0.3112  0.4382 [8 per cell]  3 Rh 2.84
Pm  0.0614  0.1897  0.8161 [8 per cell]  2 Rh 2.85, 1 Ir 2.85
Ir  0.0000  0.5000  0.7500 [2 per cell]  4 Pm 2.85
Rh  0.0000  0.0000  0.5000 [2 per cell]  4 Pm 2.84
Rh  0.1237  0.2500  0.1276 [8 per cell]  4 Pm 2.84-2.85

Calculated values
Total magnetic moment (μB per formula unit): 0.0
DFT formation energy (meV/atom): -652

4.
Here is crystalline Pm2IrRh3 at its relaxed geometry from the Alexandria database. Energies are from PBE.

abc: 5.4063 5.4063 13.2436
angles: 90.00 90.00 120.00
Closest atoms and distances in Å follow each position.
Space group R-3m (No. 166, hexagonal axes)
Unique sites:
Pm  0.0000  0.0000  0.1255 [6 per cell]  9 Rh 3.16-3.17, 3 Ir 3.17, 4 Pm 3.31-3.32
Ir  0.0000  0.0000  0.5000 [3 per cell]  6 Rh 2.70
Rh  0.0000  0.5000  0.0000 [9 per cell]  4 Rh 2.70, 2 Ir 2.70

Calculated values
Total magnetic moment (μB per formula unit): 0.0
DFT formation energy (meV/atom): -692

5.
Here is crystalline PmIrRh at its relaxed geometry from the Alexandria database. Energies are from PBE.

abc: 4.2975 4.2975 4.0212
angles: 90.00 90.00 120.00
Closest atoms and distances in Å follow each position.
Space group P-6m2 (No. 187)
Unique sites:
Pm  0.0000  0.0000  0.0000 [1 per cell]  6 Ir 3.19, 6 Rh 3.19
Ir  0.6667  0.3333  0.5000 [1 per cell]  3 Rh 2.48
Rh  0.3333  0.6667  0.5000 [1 per cell]  3 Ir 2.48

Calculated values
Total magnetic moment (μB per formula unit): 0.0
DFT formation energy (meV/atom): -453

6.
Here is crystalline PmIrRh at its relaxed geometry from the Alexandria database. Energies are from PBE.

abc: 3.5246 3.5246 9.6821
angles: 90.00 90.00 90.00
Closest atoms and distances in Å follow each position.
Space group I4mm (No. 107)
Unique sites:
Pm  0.0000  0.0000  0.0000 [2 per cell]  1 Rh 2.82, 5 Ir 2.91-3.15
Ir  0.0000  0.0000  0.3008 [2 per cell]  4 Rh 2.65, 1 Pm 2.91
Rh  0.0000  0.0000  0.7084 [2 per cell]  4 Ir 2.65, 1 Pm 2.82

Calculated values
Total magnetic moment (μB per formula unit): 0.3
DFT formation energy (meV/atom): -146

7.
Here is crystalline Pm4IrRh2 at its relaxed geometry from the Alexandria database. Energies are from PBE.

abc: 8.5246 9.3525 9.4529
angles: 90.00 90.00 90.00
Closest atoms and distances in Å follow each position.
Space group Imma (No. 74)
Unique sites:
Pm  0.0000  0.0516  0.2112 [8 per cell]  3 Rh 2.77-2.85, 1 Ir 2.82
Pm  0.2100  0.2500  0.5495 [8 per cell]  3 Rh 2.85-2.98, 2 Ir 2.87-2.95
Ir  0.0000  0.2500  0.7970 [4 per cell]  6 Pm 2.82-2.95
Rh  0.0000  0.0000  0.5000 [4 per cell]  6 Pm 2.77-2.98
Rh  0.2500  0.2500  0.2500 [4 per cell]  6 Pm 2.85

Calculated values
Total magnetic moment (μB per formula unit): 0.0
DFT formation energy (meV/atom): -556

8.
Here is crystalline Pm3IrRh at its relaxed geometry from the Alexandria database. Energies are from PBE.

abc: 15.0168 4.8921 8.4521
angles: 90.00 124.23 90.00
Closest atoms and distances in Å follow each position.
Space group C2/m (No. 12)
Unique sites:
Pm  0.0798  0.0000  0.2471 [4 per cell]  2 Ir 3.00-3.03, 3 Rh 3.01-3.16
Pm  0.0849  0.5000  0.7510 [4 per cell]  2 Rh 2.99-3.11, 3 Ir 2.99-3.12
Pm  0.2474  0.5000  0.2481 [4 per cell]  3 Rh 2.99-3.02, 3 Ir 3.01-3.04
Ir  0.1638  0.0000  0.9979 [4 per cell]  8 Pm 2.99-3.12
Rh  0.1657  0.5000  0.4989 [4 per cell]  8 Pm 2.99-3.16

Calculated values
Total magnetic moment (μB per formula unit): 0.0
DFT formation energy (meV/atom): -614

9.
Here is crystalline Pm4Ir3Rh at its relaxed geometry from the Alexandria database. Energies are from PBE.

abc: 4.0231 4.2221 10.8578
angles: 90.00 90.00 90.00
Closest atoms and distances in Å follow each position.
Space group Pmm2 (No. 25)
Unique sites:
Pm  0.0000  0.0000  0.0000 [1 per cell]  5 Ir 3.00-3.02, 2 Rh 3.18
Pm  0.0000  0.5000  0.2888 [1 per cell]  4 Rh 2.99, 3 Ir 3.02-3.14
Pm  0.5000  0.0000  0.5009 [1 per cell]  1 Rh 2.98, 6 Ir 3.00-3.13
Pm  0.5000  0.5000  0.7907 [1 per cell]  7 Ir 2.99-3.16
Ir  0.0000  0.0000  0.7222 [1 per cell]  2 Ir 2.70, 5 Pm 3.01-3.02
Ir  0.0000  0.5000  0.5667 [1 per cell]  2 Ir 2.70, 5 Pm 3.00-3.02
Ir  0.5000  0.5000  0.0663 [1 per cell]  2 Rh 2.74, 5 Pm 2.99-3.00
Rh  0.5000  0.0000  0.2266 [1 per cell]  2 Ir 2.74, 5 Pm 2.98-2.99

Calculated values
Total magnetic moment (μB per formula unit): 0.0
DFT formation energy (meV/atom): -666

10.
Here is crystalline Pm6IrRh2 at its relaxed geometry from the Alexandria database. Energies are from PBE.

abc: 6.7786 7.4054 11.9804
angles: 90.00 121.21 90.00
Closest atoms and distances in Å follow each position.
Space group P2_1/c (No. 14)
Unique sites:
Pm  0.0846  0.0561  0.2516 [4 per cell]  1 Ir 2.79, 2 Rh 2.87-2.90
Pm  0.2566  0.6771  0.0796 [4 per cell]  1 Ir 2.82, 2 Rh 2.94-2.98
Pm  0.4054  0.1807  0.0692 [4 per cell]  1 Ir 2.77, 1 Rh 2.87
Ir  0.0000  0.0000  0.0000 [2 per cell]  6 Pm 2.77-2.82
Rh  0.3176  0.1126  0.7679 [4 per cell]  6 Pm 2.87-3.14

Calculated values
Total magnetic moment (μB per formula unit): 0.0
DFT formation energy (meV/atom): -520

11.
Here is crystalline PmIrRh4 at its relaxed geometry from the Alexandria database. Energies are from PBE.

abc: 7.8350 3.9889 6.7447
angles: 90.00 90.00 90.00
Closest atoms and distances in Å follow each position.
Space group Pmma (No. 51)
Unique sites:
Pm  0.2500  0.0000  0.1461 [2 per cell]  1 Ir 2.79, 8 Rh 2.96-3.11
Ir  0.2500  0.0000  0.7326 [2 per cell]  8 Rh 2.51-2.66, 1 Pm 2.79
Rh  0.0000  0.0000  0.5000 [2 per cell]  2 Ir 2.51, 4 Rh 2.80
Rh  0.0526  0.5000  0.8069 [4 per cell]  2 Ir 2.57, 2 Rh 2.73-2.74
Rh  0.2500  0.5000  0.4711 [2 per cell]  2 Ir 2.66, 6 Rh 2.74-2.80, 2 Pm 2.96

Calculated values
Total magnetic moment (μB per formula unit): 0.0
DFT formation energy (meV/atom): -132

12.
Here is crystalline Pm4Ir2Rh at its relaxed geometry from the Alexandria database. Energies are from PBE.

abc: 8.8047 8.8047 8.8342
angles: 90.00 90.00 90.00
Closest atoms and distances in Å follow each position.
Space group I-42d (No. 122)
Unique sites:
Pm  0.0636  0.1879  0.3133 [16 per cell]  1 Rh 2.86, 2 Ir 2.86
Ir  0.1271  0.2500  0.6250 [8 per cell]  4 Pm 2.86
Rh  0.0000  0.0000  0.0000 [4 per cell]  4 Pm 2.86

Calculated values
Total magnetic moment (μB per formula unit): 0.0
DFT formation energy (meV/atom): -639

13.
Here is crystalline Pm3IrRh at its relaxed geometry from the Alexandria database. Energies are from PBE.

abc: 9.3459 7.0088 8.5725
angles: 90.00 108.94 90.00
Closest atoms and distances in Å follow each position.
Space group P2_1/c (No. 14)
Unique sites:
Pm  0.0502  0.0006  0.3131 [4 per cell]  3 Ir 2.78-2.96
Pm  0.2573  0.6458  0.5697 [4 per cell]  2 Rh 2.75-2.85, 2 Ir 2.90-2.97
Pm  0.3619  0.1631  0.7539 [4 per cell]  1 Rh 2.86, 1 Ir 2.91
Ir  0.0755  0.1971  0.0301 [4 per cell]  6 Pm 2.78-2.97, 1 Ir 3.07
Rh  0.4194  0.6432  0.9145 [4 per cell]  1 Rh 2.65, 3 Pm 2.75-2.86

Calculated values
Total magnetic moment (μB per formula unit): 0.0
DFT formation energy (meV/atom): -501

14.
Here is crystalline PmIrRh at its relaxed geometry from the Alexandria database. Energies are from PBE.

abc: 4.8335 4.8335 9.6787
angles: 90.00 90.00 120.00
Closest atoms and distances in Å follow each position.
Space group R3m (No. 160, hexagonal axes)
Unique sites:
Pm  0.0000  0.0000  0.0000 [3 per cell]  4 Ir 2.81-2.92, 3 Rh 2.98
Ir  0.0000  0.0000  0.6983 [3 per cell]  1 Rh 2.50
Rh  0.0000  0.0000  0.4402 [3 per cell]  1 Ir 2.50

Calculated values
Total magnetic moment (μB per formula unit): 0.0
DFT formation energy (meV/atom): -25

15.
Here is crystalline PmIrRh at its relaxed geometry from the Alexandria database. Energies are from PBE.

abc: 5.3838 5.4227 7.6784
angles: 90.00 90.00 90.00
Closest atoms and distances in Å follow each position.
Space group Imma (No. 74)
Unique sites:
Pm  0.0000  0.2500  0.1235 [4 per cell]  6 Rh 3.16-3.19, 6 Ir 3.17-3.18, 4 Pm 3.31-3.32
Ir  0.2500  0.2500  0.7500 [4 per cell]  2 Ir 2.69, 4 Rh 2.71
Rh  0.0000  0.0000  0.5000 [4 per cell]  4 Ir 2.71, 2 Rh 2.71

Calculated values
Total magnetic moment (μB per formula unit): 0.0
DFT formation energy (meV/atom): -705

16.
Here is crystalline Pm2Ir3Rh4 at its relaxed geometry from the Alexandria database. Energies are from PBE.

abc: 5.1896 9.3434 13.3790
angles: 90.00 90.00 90.00
Closest atoms and distances in Å follow each position.
Space group Fmmm (No. 69)
Unique sites:
Pm  0.0000  0.0000  0.1340 [8 per cell]  8 Rh 3.00-3.15, 6 Ir 3.15-3.22
Ir  0.0000  0.0000  0.5000 [4 per cell]  4 Ir 2.67, 4 Rh 2.82
Ir  0.2500  0.2500  0.0000 [8 per cell]  4 Ir 2.59-2.67, 4 Rh 2.67
Rh  0.0000  0.1824  0.3320 [16 per cell]  1 Rh 2.53, 3 Ir 2.67-2.82

Calculated values
Total magnetic moment (μB per formula unit): 0.0
DFT formation energy (meV/atom): -382

17.
Here is crystalline Pm12Ir2Rh5 at its relaxed geometry from the Alexandria database. Energies are from PBE.

abc: 16.5833 7.4229 9.0577
angles: 90.00 105.19 90.00
Closest atoms and distances in Å follow each position.
Space group C2/m (No. 12)
Unique sites:
Pm  0.0015  0.0000  0.2393 [4 per cell]  2 Ir 2.83, 1 Rh 2.94
Pm  0.0135  0.5000  0.3059 [4 per cell]  1 Rh 2.72, 2 Ir 2.83
Pm  0.1538  0.2576  0.0672 [8 per cell]  4 Rh 2.89-3.05
Pm  0.1729  0.2356  0.5999 [8 per cell]  1 Ir 2.78, 3 Rh 2.89-3.06
Ir  0.0000  0.2090  0.5000 [4 per cell]  6 Pm 2.78-2.83, 1 Ir 3.10
Rh  0.0000  0.5000  0.0000 [2 per cell]  2 Pm 2.72
Rh  0.1852  0.0000  0.3294 [4 per cell]  7 Pm 2.94-3.06
Rh  0.1973  0.0000  0.8621 [4 per cell]  7 Pm 2.89-3.18

Calculated values
Total magnetic moment (μB per formula unit): 0.0
DFT formation energy (meV/atom): -532

18.
Here is crystalline Pm6Ir3Rh at its relaxed geometry from the Alexandria database. Energies are from PBE.

abc: 7.0352 7.5626 12.2102
angles: 90.00 123.60 90.00
Closest atoms and distances in Å follow each position.
Space group P2_1/c (No. 14)
Unique sites:
Pm  0.0790  0.0623  0.2503 [4 per cell]  1 Rh 2.83, 3 Ir 2.88-2.89
Pm  0.2542  0.6744  0.0831 [4 per cell]  3 Ir 2.77-3.07, 1 Rh 2.88
Pm  0.3971  0.1716  0.0661 [4 per cell]  1 Rh 2.77, 2 Ir 2.83-2.90
Ir  0.3034  0.1099  0.7666 [4 per cell]  5 Pm 2.89-3.07
Ir  0.5000  0.0000  0.5000 [2 per cell]  6 Pm 2.77-2.88
Rh  0.0000  0.0000  0.0000 [2 per cell]  6 Pm 2.77-2.88

Calculated values
Total magnetic moment (μB per formula unit): 0.0
DFT formation energy (meV/atom): -570

19.
Here is crystalline Pm4IrRh at its relaxed geometry from the Alexandria database. Energies are from PBE.

abc: 7.0251 7.0301 7.0284
angles: 90.00 90.23 90.00
Closest atoms and distances in Å follow each position.
Space group P2_1/c (No. 14)
Unique sites:
Pm  0.1658  0.1663  0.1675 [4 per cell]  2 Ir 2.86-2.87, 1 Rh 2.88
Pm  0.3326  0.6671  0.1652 [4 per cell]  1 Ir 2.86, 2 Rh 2.87-2.88
Ir  0.0000  0.0000  0.5000 [2 per cell]  6 Pm 2.86-2.87
Rh  0.5000  0.0000  0.0000 [2 per cell]  6 Pm 2.87-2.88

Calculated values
Total magnetic moment (μB per formula unit): 0.0
DFT formation energy (meV/atom): -527

20.
Here is crystalline Pm6Ir2Rh at its relaxed geometry from the Alexandria database. Energies are from PBE.

abc: 6.8264 7.3803 11.8590
angles: 90.00 120.76 90.00
Closest atoms and distances in Å follow each position.
Space group P2_1/c (No. 14)
Unique sites:
Pm  0.0835  0.0559  0.2518 [4 per cell]  1 Rh 2.77, 2 Ir 2.87-2.90
Pm  0.2613  0.6777  0.0827 [4 per cell]  1 Rh 2.83, 2 Ir 2.90-2.99
Pm  0.3991  0.1807  0.0664 [4 per cell]  1 Rh 2.76, 1 Ir 2.86
Ir  0.3216  0.1126  0.7743 [4 per cell]  6 Pm 2.86-3.17
Rh  0.0000  0.0000  0.0000 [2 per cell]  6 Pm 2.76-2.83

Calculated values
Total magnetic moment (μB per formula unit): 0.0
DFT formation energy (meV/atom): -530